DyZrIrOs PBE-GGA relaxed; uncorrected energy = -8.86 eV per atom; formation energy from the elements = -551 meV/atom; spin magnetization = 0.00 μB/f.u.; SG = F-43m, No. 216
1.0
6.706 0.000 0.000
0.000 6.706 0.000
0.000 0.000 6.706
Dy Zr Ir Os
4 4 4 4
direct
0.000 0.000 0.000
0.000 0.500 0.500
0.500 0.000 0.500
0.500 0.500 0.000
0.000 0.000 0.500
0.000 0.500 0.000
0.500 0.000 0.000
0.500 0.500 0.500
0.250 0.250 0.750
0.250 0.750 0.250
0.750 0.250 0.250
0.750 0.750 0.750
0.250 0.250 0.250
0.250 0.750 0.750
0.750 0.250 0.750
0.750 0.750 0.250

=====

BaNbO3 PBE-GGA relaxed; E_form (uncorrected) = -2502 meV per atom; uncorrected energy = -7.88 eV per atom; spin magnetization = 1.00 μB/f.u.; SG = R-3, No. 148
1.0
2.908 1.679 5.633
-2.908 1.679 5.633
0.000 -3.357 5.633
Ba Nb O
2 2 6
direct
0.127 0.127 0.127
0.873 0.873 0.873
0.340 0.340 0.340
0.660 0.660 0.660
0.060 0.658 0.489
0.342 0.511 0.940
0.489 0.060 0.658
0.511 0.940 0.342
0.658 0.489 0.060
0.940 0.342 0.511

=====

DyYCuSi PBE-GGA relaxed; E_form (uncorrected) = -437 meV per atom; energy relative to the lowest polymorph listed for this composition = 41 kJ/mol of formula units; uncorrected energy = -5.58 eV per atom; spin magnetization = 0.00 μB/f.u.; SG = F-43m, No. 216
1.0
6.981 0.000 0.000
0.000 6.981 0.000
0.000 0.000 6.981
Dy Y Cu Si
4 4 4 4
direct
0.000 0.000 0.000
0.000 0.500 0.500
0.500 0.000 0.500
0.500 0.500 0.000
0.000 0.000 0.500
0.000 0.500 0.000
0.500 0.000 0.000
0.500 0.500 0.500
0.250 0.250 0.750
0.250 0.750 0.250
0.750 0.250 0.250
0.750 0.750 0.750
0.250 0.250 0.250
0.250 0.750 0.750
0.750 0.250 0.750
0.750 0.750 0.250

=====

Dy2AlS PBE-GGA relaxed; E_form (uncorrected) = -1122 meV per atom; energy relative to the lowest polymorph listed for this composition = 32 kJ/mol of formula units; uncorrected energy = -5.39 eV per atom; spin magnetization = 0.00 μB/f.u.; SG = R-3m, No. 166
1.0
3.794 0.000 0.000
-1.897 3.286 0.000
0.000 0.000 22.848
Dy Al S
6 3 3
direct
0.000 0.000 0.241
0.000 0.000 0.759
0.333 0.667 0.426
0.333 0.667 0.907
0.667 0.333 0.093
0.667 0.333 0.574
0.000 0.000 0.000
0.333 0.667 0.667
0.667 0.333 0.333
0.000 0.000 0.500
0.333 0.667 0.167
0.667 0.333 0.833

=====

CrGa2Re PBE-GGA relaxed; energy relative to the lowest polymorph listed for this composition = 173 kJ/mol of formula units; uncorrected energy = -6.42 eV per atom; formation energy from the elements = 609 meV/atom; spin magnetization = 2.90 μB/f.u.; SG = I-42d, No. 122
1.0
6.904 0.000 0.000
0.000 6.904 0.000
0.000 0.000 5.283
Cr Ga Re
4 8 4
direct
0.000 0.000 0.000
0.000 0.500 0.250
0.500 0.000 0.750
0.500 0.500 0.500
0.245 0.250 0.125
0.250 0.745 0.375
0.250 0.755 0.875
0.255 0.250 0.625
0.745 0.750 0.625
0.750 0.245 0.875
0.750 0.255 0.375
0.755 0.750 0.125
0.000 0.000 0.500
0.000 0.500 0.750
0.500 0.000 0.250
0.500 0.500 0.000

=====

FeCo3 PBE-GGA relaxed; uncorrected energy = -7.42 eV per atom; formation energy from the elements = 22 meV/atom; spin magnetization = 7.94 μB/f.u.; SG = Immm, No. 71
1.0
2.831 0.000 0.000
0.000 3.987 0.000
0.000 0.000 15.982
Fe Co
4 12
direct
0.000 0.000 0.124
0.000 0.000 0.876
0.500 0.500 0.376
0.500 0.500 0.624
0.000 0.000 0.374
0.000 0.000 0.626
0.000 0.500 0.000
0.000 0.500 0.254
0.000 0.500 0.500
0.000 0.500 0.746
0.500 0.000 0.000
0.500 0.000 0.246
0.500 0.000 0.500
0.500 0.000 0.754
0.500 0.500 0.126
0.500 0.500 0.874

=====

Pr2AlCu4Ge3 PBE-GGA relaxed; uncorrected energy = -4.87 eV per atom; formation energy from the elements = -520 meV/atom; spin magnetization = 0.00 μB/f.u.; SG = P-4m2, No. 115
1.0
4.176 0.000 0.000
0.000 4.176 0.000
0.000 0.000 10.309
Pr Al Cu Ge
2 1 4 3
direct
0.000 0.500 0.243
0.500 0.000 0.757
0.000 0.000 0.500
0.000 0.000 0.000
0.000 0.500 0.634
0.500 0.000 0.366
0.500 0.500 0.000
0.000 0.500 0.870
0.500 0.000 0.130
0.500 0.500 0.500

=====

Y3ErP4 PBE-GGA relaxed; uncorrected energy = -7.32 eV per atom; formation energy from the elements = -1625 meV/atom; spin magnetization = 0.00 μB/f.u.; SG = Cmmm, No. 65
1.0
8.004 0.000 0.000
0.000 11.319 0.000
0.000 0.000 4.004
Y Er P
6 2 8
direct
0.000 0.000 0.000
0.250 0.250 0.500
0.250 0.750 0.500
0.500 0.500 0.000
0.750 0.250 0.500
0.750 0.750 0.500
0.000 0.500 0.000
0.500 0.000 0.000
0.000 0.251 0.000
0.000 0.749 0.000
0.248 0.500 0.500
0.252 0.000 0.500
0.500 0.249 0.000
0.500 0.751 0.000
0.748 0.000 0.500
0.752 0.500 0.500